(1)
A plane-wave DFT calculation with GGA-PBE was carried out for a relaxed Ba2LaP crystal.

The space group is Imm2 (No. 44) and the conventional cell measures 4.0309, 5.8500 and 14.0964 Å, with angles of 90.00, 90.00 and 90.00 degrees. Symmetry generates all atoms from Ba at (0.0000, 0.0000, 0.0000), Ba at (0.0000, 0.5000, 0.1697), La at (0.0000, 0.5000, 0.8420) and P at (0.0000, 0.0000, 0.4863).


(2)
A plane-wave DFT calculation with GGA-PBE was carried out for a relaxed Pr4MgZn2Ag crystal.

The space group is R-3m (No. 166, hexagonal axes) and the conventional cell measures 5.3402, 5.3402 and 26.2510 Å, with angles of 90.00, 90.00 and 120.00 degrees. Symmetry generates all atoms from Pr at (0.0000, 0.0000, 0.1220), Pr at (0.0000, 0.0000, 0.3727), Mg at (0.0000, 0.0000, 0.5000), Zn at (0.0000, 0.0000, 0.2436) and Ag at (0.0000, 0.0000, 0.0000).


(3)
A plane-wave DFT calculation with GGA-PBE was carried out for a relaxed MgTi3 crystal.

The space group is I4/mmm (No. 139) and the conventional cell measures 4.1152, 4.1152 and 8.4567 Å, with angles of 90.00, 90.00 and 90.00 degrees. Symmetry generates all atoms from Mg at (0.0000, 0.0000, 0.0000), Ti at (0.0000, 0.0000, 0.5000) and Ti at (0.0000, 0.5000, 0.2500).


(4)
A plane-wave DFT calculation with GGA-PBE was carried out for a relaxed LiNbPO2 crystal.

The calculation puts the uncorrected formation energy at -0.215 eV per atom. The calculation puts the offset from the most stable computed form at 1113 meV per atom.

The space group is P4/mmm (No. 123) and the conventional cell measures 3.6511, 3.6511 and 4.1817 Å, with angles of 90.00, 90.00 and 90.00 degrees. Symmetry generates all atoms from Li at (0.0000, 0.0000, 0.0000), Nb at (0.5000, 0.5000, 0.5000), P at (0.0000, 0.0000, 0.5000) and O at (0.0000, 0.5000, 0.0000).


Listing N(E_F) for the structures above in their given order: 5.10 7.62 4.56 3.62 states/eV/f.u..
Listing raw total energy for the structures above in their given order: -16.12 -27.96 -24.71 -28.38 eV/f.u..